! CdAg5, PBEsol geometry, DFT SCAN; values from VASP
&SYSTEM
  ibrav = 0, nat = 6, ntyp = 2
/
ATOMIC_SPECIES
Cd 112.41 Cd.upf
Ag 107.87 Ag.upf
CELL_PARAMETERS angstrom
4.687 0.000 0.000
0.000 1.480 7.350
0.000 -1.480 7.350
ATOMIC_POSITIONS crystal
Cd 0.000 0.000 0.000
Ag 0.000 0.332 0.332
Ag 0.000 0.668 0.668
Ag 0.500 0.118 0.118
Ag 0.500 0.449 0.449
Ag 0.500 0.783 0.783
! * ΔH_f (0 K): -0.02 eV per atom
! * symmetry: Amm2, No. 38
! * total magnetic moment: 0.000 μB/f.u.
! * ΔE to the lowest computed polymorph: 0.06 eV per formula unit

***

! CdAg, PBEsol geometry, DFT SCAN; values from VASP
&SYSTEM
  ibrav = 0, nat = 4, ntyp = 2
/
ATOMIC_SPECIES
Cd 112.41 Cd.upf
Ag 107.87 Ag.upf
CELL_PARAMETERS angstrom
1.461 -5.452 0.000
1.461 5.452 0.000
0.000 0.000 4.584
ATOMIC_POSITIONS crystal
Cd 0.168 0.832 0.750
Cd 0.832 0.168 0.250
Ag 0.429 0.571 0.750
Ag 0.571 0.429 0.250
! * ΔH_f (0 K): -0.04 eV per atom
! * symmetry: Cmcm, No. 63
! * total magnetic moment: 0.000 μB/f.u.